1.
Density functional theory data (PBE) for an optimized crystal structure of Pr3Tm5H12.

Summary:
total magnetization	0.01	Bohr magnetons per cell
Fermi-level density of states	57.80	states/eV/cell
space group	No. 230
E	-4.29	eV per atom
mass density	7.4	g/cm3

CIF file:
```
data_Pr3Tm5H12
_chemical_formula_sum 'Pr12 Tm20 H48'
_space_group_name_H-M_alt 'P 1'
_space_group_IT_number 1
_space_group_name_Hall 'P 1'
_cell_length_a 11.432
_cell_length_b 11.432
_cell_length_c 11.432
_cell_angle_alpha 109.47
_cell_angle_beta 109.47
_cell_angle_gamma 109.47
loop_
_atom_site_label
_atom_site_fract_x
_atom_site_fract_y
_atom_site_fract_z
_atom_site_occupancy
Pr1 0.125 0.250 0.375 1
Pr2 0.125 0.375 0.750 1
Pr3 0.250 0.375 0.125 1
Pr4 0.250 0.875 0.625 1
Pr5 0.375 0.125 0.250 1
Pr6 0.375 0.750 0.125 1
Pr7 0.625 0.250 0.875 1
Pr8 0.625 0.875 0.750 1
Pr9 0.750 0.125 0.375 1
Pr10 0.750 0.625 0.875 1
Pr11 0.875 0.625 0.250 1
Pr12 0.875 0.750 0.625 1
Tm1 0.000 0.000 0.000 1
Tm2 0.000 0.000 0.500 1
Tm3 0.000 0.500 0.000 1
Tm4 0.000 0.500 0.500 1
Tm5 0.125 0.750 0.875 1
Tm6 0.125 0.875 0.250 1
Tm7 0.250 0.125 0.875 1
Tm8 0.250 0.625 0.375 1
Tm9 0.375 0.250 0.625 1
Tm10 0.375 0.625 0.750 1
Tm11 0.500 0.000 0.000 1
Tm12 0.500 0.000 0.500 1
Tm13 0.500 0.500 0.000 1
Tm14 0.500 0.500 0.500 1
Tm15 0.625 0.375 0.250 1
Tm16 0.625 0.750 0.375 1
Tm17 0.750 0.375 0.625 1
Tm18 0.750 0.875 0.125 1
Tm19 0.875 0.125 0.750 1
Tm20 0.875 0.250 0.125 1
H1 0.055 0.217 0.141 1
H2 0.055 0.338 0.914 1
H3 0.076 0.717 0.662 1
H4 0.076 0.859 0.414 1
H5 0.086 0.641 0.424 1
H6 0.086 0.945 0.662 1
H7 0.141 0.055 0.217 1
H8 0.141 0.586 0.924 1
H9 0.162 0.217 0.576 1
H10 0.162 0.445 0.586 1
H11 0.217 0.141 0.055 1
H12 0.217 0.576 0.162 1
H13 0.283 0.338 0.924 1
H14 0.283 0.445 0.359 1
H15 0.338 0.914 0.055 1
H16 0.338 0.924 0.283 1
H17 0.359 0.283 0.445 1
H18 0.359 0.576 0.914 1
H19 0.414 0.076 0.859 1
H20 0.414 0.838 0.555 1
H21 0.424 0.086 0.641 1
H22 0.424 0.838 0.783 1
H23 0.445 0.359 0.283 1
H24 0.445 0.586 0.162 1
H25 0.555 0.414 0.838 1
H26 0.555 0.641 0.717 1
H27 0.576 0.162 0.217 1
H28 0.576 0.914 0.359 1
H29 0.586 0.162 0.445 1
H30 0.586 0.924 0.141 1
H31 0.641 0.424 0.086 1
H32 0.641 0.717 0.555 1
H33 0.662 0.076 0.717 1
H34 0.662 0.086 0.945 1
H35 0.717 0.555 0.641 1
H36 0.717 0.662 0.076 1
H37 0.783 0.424 0.838 1
H38 0.783 0.859 0.945 1
H39 0.838 0.555 0.414 1
H40 0.838 0.783 0.424 1
H41 0.859 0.414 0.076 1
H42 0.859 0.945 0.783 1
H43 0.914 0.055 0.338 1
H44 0.914 0.359 0.576 1
H45 0.924 0.141 0.586 1
H46 0.924 0.283 0.338 1
H47 0.945 0.662 0.086 1
H48 0.945 0.783 0.859 1
```

=====

2.
Density functional theory data (PBE) for an optimized crystal structure of CaCr3Pb.

Summary:
excess energy over the best structure of this formula in the dataset	0.00	kcal/mol of atoms
total magnetization	13.84	Bohr magnetons per cell
Fermi-level density of states	2.79	states/eV/cell
space group	No. 221
DFT formation energy	5.79	eV/f.u.
mass density	4.5	g/cm3

CIF file:
```
data_CaCr3Pb
_chemical_formula_sum 'Ca1 Cr3 Pb1'
_space_group_name_H-M_alt 'P 1'
_space_group_IT_number 1
_space_group_name_Hall 'P 1'
_cell_length_a 5.317
_cell_length_b 5.317
_cell_length_c 5.317
_cell_angle_alpha 90.00
_cell_angle_beta 90.00
_cell_angle_gamma 90.00
loop_
_atom_site_label
_atom_site_fract_x
_atom_site_fract_y
_atom_site_fract_z
_atom_site_occupancy
Ca1 0.000 0.000 0.000 1
Cr1 0.000 0.500 0.500 1
Cr2 0.500 0.000 0.500 1
Cr3 0.500 0.500 0.000 1
Pb1 0.500 0.500 0.500 1
```

=====

3.
Density functional theory data (PBE) for an optimized crystal structure of ScAsRu3.

Summary:
excess energy over the best structure of this formula in the dataset	0.00	kcal/mol of atoms
total magnetization	0.00	Bohr magnetons per cell
Fermi-level density of states	4.09	states/eV/cell
space group	No. 221
DFT formation energy	1.40	eV/f.u.
mass density	7.7	g/cm3

CIF file:
```
data_ScAsRu3
_chemical_formula_sum 'Sc1 As1 Ru3'
_space_group_name_H-M_alt 'P 1'
_space_group_IT_number 1
_space_group_name_Hall 'P 1'
_cell_length_a 4.506
_cell_length_b 4.506
_cell_length_c 4.506
_cell_angle_alpha 90.00
_cell_angle_beta 90.00
_cell_angle_gamma 90.00
loop_
_atom_site_label
_atom_site_fract_x
_atom_site_fract_y
_atom_site_fract_z
_atom_site_occupancy
Sc1 0.000 0.000 0.000 1
As1 0.500 0.500 0.500 1
Ru1 0.000 0.500 0.500 1
Ru2 0.500 0.000 0.500 1
Ru3 0.500 0.500 0.000 1
```

=====

4.
Density functional theory data (PBE) for an optimized crystal structure of MnAlSi.

Summary:
total magnetization	0.97	Bohr magnetons per cell
Fermi-level density of states	1.77	states/eV/cell
ΔE_f (raw)	-0.085	eV/atom
space group	No. 187
mass density	4.7	g/cm3

CIF file:
```
data_MnAlSi
_chemical_formula_sum 'Mn1 Al1 Si1'
_space_group_name_H-M_alt 'P 1'
_space_group_IT_number 1
_space_group_name_Hall 'P 1'
_cell_length_a 3.999
_cell_length_b 3.999
_cell_length_c 2.831
_cell_angle_alpha 90.00
_cell_angle_beta 90.00
_cell_angle_gamma 120.00
loop_
_atom_site_label
_atom_site_fract_x
_atom_site_fract_y
_atom_site_fract_z
_atom_site_occupancy
Mn1 0.000 0.000 0.000 1
Al1 0.333 0.667 0.500 1
Si1 0.667 0.333 0.000 1
```

=====

5.
Density functional theory data (PBE) for an optimized crystal structure of MnCrOs4.

Summary:
excess energy over the best structure of this formula in the dataset	0.00	kcal/mol of atoms
total magnetization	4.01	Bohr magnetons per cell
Fermi-level density of states	8.84	states/eV/cell
space group	No. 12
DFT formation energy	0.83	eV/f.u.
mass density	17.6	g/cm3

CIF file:
```
data_MnCrOs4
_chemical_formula_sum 'Mn2 Cr2 Os8'
_space_group_name_H-M_alt 'P 1'
_space_group_IT_number 1
_space_group_name_Hall 'P 1'
_cell_length_a 5.233
_cell_length_b 5.233
_cell_length_c 6.302
_cell_angle_alpha 102.47
_cell_angle_beta 102.47
_cell_angle_gamma 82.64
loop_
_atom_site_label
_atom_site_fract_x
_atom_site_fract_y
_atom_site_fract_z
_atom_site_occupancy
Mn1 0.129 0.129 0.333 1
Mn2 0.871 0.871 0.667 1
Cr1 0.431 0.431 0.660 1
Cr2 0.569 0.569 0.340 1
Os1 0.056 0.626 0.335 1
Os2 0.211 0.789 0.000 1
Os3 0.292 0.292 0.035 1
Os4 0.374 0.944 0.665 1
Os5 0.626 0.056 0.335 1
Os6 0.708 0.708 0.965 1
Os7 0.789 0.211 0.000 1
Os8 0.944 0.374 0.665 1
```

=====

6.
Density functional theory data (PBE) for an optimized crystal structure of LiMg2Cu.

Summary:
total magnetization	0.00	Bohr magnetons per cell
Fermi-level density of states	1.21	states/eV/cell
space group	No. 123
DFT formation energy	-0.28	eV/f.u.
mass density	2.9	g/cm3

CIF file:
```
data_LiMg2Cu
_chemical_formula_sum 'Li1 Mg2 Cu1'
_space_group_name_H-M_alt 'P 1'
_space_group_IT_number 1
_space_group_name_Hall 'P 1'
_cell_length_a 4.528
_cell_length_b 4.528
_cell_length_c 3.328
_cell_angle_alpha 90.00
_cell_angle_beta 90.00
_cell_angle_gamma 90.00
loop_
_atom_site_label
_atom_site_fract_x
_atom_site_fract_y
_atom_site_fract_z
_atom_site_occupancy
Li1 0.000 0.000 0.000 1
Mg1 0.000 0.500 0.500 1
Mg2 0.500 0.000 0.500 1
Cu1 0.500 0.500 0.000 1
```

=====

7.
Density functional theory data (PBE) for an optimized crystal structure of PmNdDyTh.

Summary:
excess energy over the best structure of this formula in the dataset	3.28	kcal/mol of atoms
total magnetization	0.00	Bohr magnetons per cell
Fermi-level density of states	8.40	states/eV/cell
space group	No. 216
DFT formation energy	0.67	eV/f.u.
mass density	8.5	g/cm3

CIF file:
```
data_PmNdDyTh
_chemical_formula_sum 'Pm1 Nd1 Dy1 Th1'
_space_group_name_H-M_alt 'P 1'
_space_group_IT_number 1
_space_group_name_Hall 'P 1'
_cell_length_a 5.738
_cell_length_b 5.738
_cell_length_c 5.738
_cell_angle_alpha 60.00
_cell_angle_beta 60.00
_cell_angle_gamma 60.00
loop_
_atom_site_label
_atom_site_fract_x
_atom_site_fract_y
_atom_site_fract_z
_atom_site_occupancy
Pm1 0.000 0.000 0.000 1
Nd1 0.750 0.750 0.750 1
Dy1 0.500 0.500 0.500 1
Th1 0.250 0.250 0.250 1
```

=====

8.
Density functional theory data (PBE) for an optimized crystal structure of Sm4BiC.

Summary:
excess energy over the best structure of this formula in the dataset	0.00	kcal/mol of atoms
total magnetization	0.00	Bohr magnetons per cell
Fermi-level density of states	10.89	states/eV/cell
space group	No. 15
DFT formation energy	-1.29	eV/f.u.
mass density	8.3	g/cm3

CIF file:
```
data_Sm4BiC
_chemical_formula_sum 'Sm8 Bi2 C2'
_space_group_name_H-M_alt 'P 1'
_space_group_IT_number 1
_space_group_name_Hall 'P 1'
_cell_length_a 7.331
_cell_length_b 7.331
_cell_length_c 6.621
_cell_angle_alpha 97.52
_cell_angle_beta 97.52
_cell_angle_gamma 108.47
loop_
_atom_site_label
_atom_site_fract_x
_atom_site_fract_y
_atom_site_fract_z
_atom_site_occupancy
Sm1 0.032 0.765 0.952 1
Sm2 0.194 0.408 0.606 1
Sm3 0.235 0.968 0.548 1
Sm4 0.408 0.194 0.106 1
Sm5 0.592 0.806 0.894 1
Sm6 0.765 0.032 0.452 1
Sm7 0.806 0.592 0.394 1
Sm8 0.968 0.235 0.048 1
Bi1 0.364 0.636 0.250 1
Bi2 0.636 0.364 0.750 1
C1 0.011 0.989 0.250 1
C2 0.989 0.011 0.750 1
```